[1]
ZrTlCuSe3: relaxed, PBE.

Cell lengths 8.223, 3.888, 10.399 Å; angles 90.00, 113.15, 90.00 degrees
Atoms (fractional coordinates):
Zr 0.200 0.250 0.171
Zr 0.800 0.750 0.829
Tl 0.213 0.750 0.700
Tl 0.787 0.250 0.300
Cu 0.419 0.750 0.399
Cu 0.581 0.250 0.601
Se 0.056 0.250 0.877
Se 0.256 0.250 0.439
Se 0.426 0.750 0.166
Se 0.574 0.250 0.834
Se 0.744 0.750 0.561
Se 0.944 0.750 0.123

Results
total energy: -5.047 eV/atom

=====

[2]
ZrTlCuSe3: relaxed, PBE.

Cell lengths 7.617, 7.617, 10.208 Å; angles 90.00, 90.00, 150.55 degrees
Atoms (fractional coordinates):
Zr 0.000 0.000 0.000
Zr 0.000 0.000 0.500
Tl 0.249 0.751 0.750
Tl 0.751 0.249 0.250
Cu 0.463 0.537 0.250
Cu 0.537 0.463 0.750
Se 0.066 0.934 0.250
Se 0.373 0.627 0.050
Se 0.373 0.627 0.450
Se 0.627 0.373 0.550
Se 0.627 0.373 0.950
Se 0.934 0.066 0.750

Results
total energy: -5.052 eV/atom

=====

[3]
TmCuSe2: relaxed, PBE.

Cell lengths 4.053, 4.053, 6.406 Å; angles 90.00, 90.00, 120.00 degrees
Atoms (fractional coordinates):
Tm 0.000 0.000 0.000
Cu 0.333 0.667 0.615
Se 0.333 0.667 0.235
Se 0.667 0.333 0.731

Results
total energy: -4.998 eV/atom

=====

[4]
YTmCuSe3: relaxed, PBE.

Cell lengths 10.356, 3.879, 13.231 Å; angles 90.00, 90.00, 90.00 degrees
Atoms (fractional coordinates):
Y 0.219 0.250 0.017
Y 0.281 0.750 0.517
Y 0.719 0.250 0.483
Y 0.781 0.750 0.983
Tm 0.021 0.750 0.744
Tm 0.479 0.250 0.244
Tm 0.521 0.750 0.756
Tm 0.979 0.250 0.256
Cu 0.233 0.750 0.226
Cu 0.267 0.250 0.726
Cu 0.733 0.750 0.274
Cu 0.767 0.250 0.774
Se 0.045 0.750 0.108
Se 0.096 0.250 0.600
Se 0.232 0.250 0.345
Se 0.268 0.750 0.845
Se 0.404 0.750 0.100
Se 0.455 0.250 0.608
Se 0.545 0.750 0.392
Se 0.596 0.250 0.900
Se 0.732 0.250 0.155
Se 0.768 0.750 0.655
Se 0.904 0.750 0.400
Se 0.955 0.250 0.892

Results
total energy: -5.550 eV/atom

=====

[5]
TmZnCuSe3: relaxed, PBE.

Cell lengths 6.631, 6.631, 10.544 Å; angles 90.00, 90.00, 146.81 degrees
Atoms (fractional coordinates):
Tm 0.000 0.000 0.000
Tm 0.000 0.000 0.500
Zn 0.231 0.769 0.750
Zn 0.769 0.231 0.250
Cu 0.479 0.521 0.250
Cu 0.521 0.479 0.750
Se 0.107 0.893 0.250
Se 0.351 0.649 0.079
Se 0.351 0.649 0.421
Se 0.649 0.351 0.579
Se 0.649 0.351 0.921
Se 0.893 0.107 0.750

Results
total energy: -4.143 eV/atom

=====

[6]
U3Cu2Se7: relaxed, PBE.

Cell lengths 10.113, 10.113, 5.950 Å; angles 90.00, 90.00, 120.00 degrees
Atoms (fractional coordinates):
U 0.152 0.774 0.000
U 0.226 0.378 0.000
U 0.378 0.152 0.500
U 0.622 0.848 0.000
U 0.774 0.622 0.500
U 0.848 0.226 0.500
Cu 0.000 0.000 0.027
Cu 0.000 0.000 0.527
Cu 0.333 0.667 0.367
Cu 0.667 0.333 0.867
Se 0.076 0.512 0.247
Se 0.111 0.846 0.514
Se 0.154 0.265 0.514
Se 0.265 0.111 0.014
Se 0.333 0.667 0.773
Se 0.436 0.924 0.247
Se 0.488 0.564 0.247
Se 0.512 0.436 0.747
Se 0.564 0.076 0.747
Se 0.667 0.333 0.273
Se 0.735 0.889 0.514
Se 0.846 0.735 0.014
Se 0.889 0.154 0.014
Se 0.924 0.488 0.747

Results
total energy: -6.384 eV/atom

=====

[7]
Cu2WSe4: relaxed, PBE.

Cell lengths 6.771, 6.771, 6.771 Å; angles 131.29, 131.29, 71.36 degrees
Atoms (fractional coordinates):
Cu 0.000 0.500 0.500
Cu 0.500 0.000 0.500
W 0.000 0.000 0.000
Se 0.112 0.112 0.483
Se 0.371 0.888 0.000
Se 0.629 0.629 0.517
Se 0.888 0.371 0.000

Results
energy relative to the lowest polymorph listed for this composition: 0.000 eV per atom

=====

[8]
Cu2WSe4: relaxed, PBE.

Cell lengths 5.582, 5.582, 5.600 Å; angles 90.00, 90.00, 90.00 degrees
Atoms (fractional coordinates):
Cu 0.000 0.500 0.000
Cu 0.500 0.000 0.000
W 0.000 0.000 0.000
Se 0.241 0.241 0.255
Se 0.241 0.759 0.745
Se 0.759 0.241 0.745
Se 0.759 0.759 0.255

Results
energy relative to the lowest polymorph listed for this composition: 0.004 eV per atom

=====

[9]
Y2CuSe4: relaxed, PBE.

Cell lengths 8.070, 8.070, 8.070 Å; angles 60.00, 60.00, 60.00 degrees
Atoms (fractional coordinates):
Y 0.000 0.000 0.000
Y 0.000 0.000 0.500
Y 0.000 0.500 0.000
Y 0.500 0.000 0.000
Cu 0.375 0.375 0.375
Cu 0.625 0.625 0.625
Se 0.251 0.251 0.251
Se 0.251 0.251 0.748
Se 0.251 0.748 0.251
Se 0.252 0.749 0.749
Se 0.748 0.251 0.251
Se 0.749 0.252 0.749
Se 0.749 0.749 0.252
Se 0.749 0.749 0.749

Results
total energy: -5.674 eV/atom

=====

[10]
Zr3CuSe5: relaxed, PBE.

Cell lengths 6.270, 6.270, 7.265 Å; angles 90.00, 90.00, 120.00 degrees
Atoms (fractional coordinates):
Zr 0.000 0.500 0.000
Zr 0.500 0.000 0.000
Zr 0.500 0.500 0.000
Cu 0.000 0.000 0.500
Se 0.000 0.000 0.000
Se 0.333 0.667 0.272
Se 0.333 0.667 0.728
Se 0.667 0.333 0.272
Se 0.667 0.333 0.728

Results
total energy: -5.819 eV/atom

=====

[11]
Sm3Cu2Si4: relaxed, PBE.

Cell lengths 5.776, 5.776, 8.127 Å; angles 99.44, 99.44, 41.31 degrees
Atoms (fractional coordinates):
Sm 0.000 0.000 0.000
Sm 0.338 0.338 0.332
Sm 0.662 0.662 0.668
Cu 0.388 0.388 0.718
Cu 0.612 0.612 0.282
Si 0.059 0.059 0.388
Si 0.282 0.282 0.941
Si 0.718 0.718 0.059
Si 0.941 0.941 0.612

Results
total energy: -5.536 eV/atom

=====

[12]
TbSmCu2Si2: relaxed, PBE.

Cell lengths 4.168, 4.168, 7.649 Å; angles 90.00, 90.00, 120.00 degrees
Atoms (fractional coordinates):
Tb 0.000 0.000 0.000
Sm 0.000 0.000 0.500
Cu 0.333 0.667 0.755
Cu 0.667 0.333 0.245
Si 0.333 0.667 0.244
Si 0.667 0.333 0.756

Results
total energy: -5.261 eV/atom

=====

[13]
SmTm2Cu4Si4: relaxed, PBE.

Cell lengths 7.844, 7.844, 7.844 Å; angles 149.73, 130.35, 59.26 degrees
Atoms (fractional coordinates):
Sm 0.000 0.000 0.000
Tm 0.371 0.871 0.500
Tm 0.629 0.129 0.500
Cu 0.022 0.331 0.691
Cu 0.361 0.669 0.691
Cu 0.639 0.331 0.309
Cu 0.978 0.669 0.309
Si 0.218 0.218 0.000
Si 0.319 0.500 0.819
Si 0.681 0.500 0.181
Si 0.782 0.782 0.000

Results
total energy: -5.200 eV/atom

=====

[14]
SmY2Cu4Si4: relaxed, PBE.

Cell lengths 7.924, 7.924, 7.924 Å; angles 149.63, 130.65, 59.06 degrees
Atoms (fractional coordinates):
Sm 0.000 0.000 0.000
Y 0.370 0.870 0.500
Y 0.630 0.130 0.500
Cu 0.021 0.331 0.690
Cu 0.358 0.669 0.690
Cu 0.642 0.331 0.310
Cu 0.979 0.669 0.310
Si 0.218 0.218 0.000
Si 0.318 0.500 0.818
Si 0.682 0.500 0.182
Si 0.782 0.782 0.000

Results
total energy: -5.561 eV/atom

=====

[15]
SmYCu2Si2: relaxed, PBE.

Cell lengths 4.172, 4.172, 7.701 Å; angles 90.00, 90.00, 120.00 degrees
Atoms (fractional coordinates):
Sm 0.000 0.000 0.000
Y 0.000 0.000 0.500
Cu 0.333 0.667 0.745
Cu 0.667 0.333 0.255
Si 0.333 0.667 0.256
Si 0.667 0.333 0.744

Results
total energy: -5.575 eV/atom

=====

[16]
Sm2YCu4Si4: relaxed, PBE.

Cell lengths 12.250, 12.250, 12.250 Å; angles 160.98, 160.85, 27.12 degrees
Atoms (fractional coordinates):
Sm 0.149 0.149 0.000
Sm 0.851 0.851 0.000
Y 0.500 0.000 0.500
Cu 0.250 0.750 0.500
Cu 0.404 0.404 0.000
Cu 0.596 0.596 0.000
Cu 0.750 0.250 0.500
Si 0.050 0.550 0.500
Si 0.306 0.306 0.000
Si 0.694 0.694 0.000
Si 0.950 0.450 0.500

Results
total energy: -5.399 eV/atom

=====

[17]
CuSiSn: relaxed, PBE.

Cell lengths 4.308, 4.308, 4.308 Å; angles 60.00, 60.00, 60.00 degrees
Atoms (fractional coordinates):
Cu 0.000 0.000 0.000
Si 0.750 0.750 0.750
Sn 0.250 0.250 0.250

Results
energy relative to the lowest polymorph listed for this composition: 0.000 eV per atom

=====

[18]
Cu2SiSn: relaxed, PBE.

Cell lengths 6.384, 6.384, 6.384 Å; angles 90.00, 90.00, 90.00 degrees
Atoms (fractional coordinates):
Cu 0.218 0.218 0.218
Cu 0.218 0.218 0.782
Cu 0.218 0.782 0.218
Cu 0.218 0.782 0.782
Cu 0.782 0.218 0.218
Cu 0.782 0.218 0.782
Cu 0.782 0.782 0.218
Cu 0.782 0.782 0.782
Si 0.000 0.000 0.000
Si 0.000 0.000 0.500
Si 0.000 0.500 0.000
Si 0.500 0.000 0.000
Sn 0.000 0.500 0.500
Sn 0.500 0.000 0.500
Sn 0.500 0.500 0.000
Sn 0.500 0.500 0.500

Results
total energy: -3.974 eV/atom

=====

[19]
Cu2SiSn: relaxed, PBE.

Cell lengths 6.384, 6.384, 6.384 Å; angles 90.00, 90.00, 90.00 degrees
Atoms (fractional coordinates):
Cu 0.218 0.218 0.218
Cu 0.218 0.218 0.782
Cu 0.218 0.782 0.218
Cu 0.218 0.782 0.782
Cu 0.782 0.218 0.218
Cu 0.782 0.218 0.782
Cu 0.782 0.782 0.218
Cu 0.782 0.782 0.782
Si 0.000 0.000 0.000
Si 0.000 0.000 0.500
Si 0.000 0.500 0.000
Si 0.500 0.000 0.000
Sn 0.000 0.500 0.500
Sn 0.500 0.000 0.500
Sn 0.500 0.500 0.000
Sn 0.500 0.500 0.500

Results
total energy: -3.974 eV/atom

=====

[20]
Cu2Si2Sn3: relaxed, PBE.

Cell lengths 8.559, 8.559, 8.559 Å; angles 31.12, 31.12, 31.12 degrees
Atoms (fractional coordinates):
Cu 0.000 0.000 0.000
Cu 0.492 0.492 0.492
Si 0.258 0.258 0.258
Si 0.753 0.753 0.753
Sn 0.113 0.113 0.113
Sn 0.642 0.642 0.642
Sn 0.874 0.874 0.874

Results
total energy: -3.879 eV/atom